This record from the Alexandria database describes a PBEsol-optimized structure of NiSbTe2Rh. The functional is meta-GGA SCAN.

It has space group P4/mmm (No. 123), with a = 5.175 Å, b = 5.175 Å, c = 4.883 Å, α = 90.00°, β = 90.00° and γ = 90.00°. The asymmetric unit holds Ni at (0.000, 0.000, 0.000), Sb at (0.500, 0.500, 0.000), Te at (0.000, 0.500, 0.500) and Rh at (0.500, 0.500, 0.500).

The formation energy (no corrections) comes out at 0.80 eV/atom. As for the electronic total energy: -31.545 eV per atom. Its crystal system is tetragonal. The calculation puts the density of states at the Fermi level at 5.17 states/eV/cell.



This record from the Alexandria database describes a PBEsol-optimized structure of TiNiSb2Rh. The functional is meta-GGA SCAN.

It has space group P4/mmm (No. 123), with a = 5.049 Å, b = 5.049 Å, c = 4.200 Å, α = 90.00°, β = 90.00° and γ = 90.00°. The asymmetric unit holds Ti at (0.000, 0.000, 0.000), Ni at (0.000, 0.000, 0.500), Sb at (0.000, 0.500, 0.000) and Rh at (0.500, 0.500, 0.500).

The formation energy (no corrections) comes out at 0.93 eV/atom. As for the electronic total energy: -27.165 eV per atom. Its crystal system is tetragonal. The calculation puts the density of states at the Fermi level at 4.22 states/eV/cell.



This record from the Alexandria database describes a PBEsol-optimized structure of ScNi2Rh. The functional is meta-GGA SCAN.

It has space group P4mm (No. 99), with a = 3.087 Å, b = 3.087 Å, c = 5.600 Å, α = 90.00°, β = 90.00° and γ = 90.00°. The asymmetric unit holds Sc at (0.000, 0.000, 0.000), Ni at (0.000, 0.000, 0.469), Ni at (0.500, 0.500, 0.276) and Rh at (0.500, 0.500, 0.721).

As for the electronic total energy: -20.435 eV per atom. The calculation puts the energy relative to the elements at -0.3462 eV/atom. Its crystal system is tetragonal. The calculation puts the density of states at the Fermi level at 2.70 states/eV/cell.



This record from the Alexandria database describes a PBEsol-optimized structure of ScNiRh2. The functional is meta-GGA SCAN.

It has space group R3m (No. 160, hexagonal axes), with a = 2.7662 Å, b = 2.7662 Å, c = 25.5864 Å, α = 90.00°, β = 90.00° and γ = 120.00°. The asymmetric unit holds Sc at (0.0000, 0.0000, 0.0000), Ni at (0.0000, 0.0000, 0.2511), Rh at (0.0000, 0.0000, 0.5056) and Rh at (0.0000, 0.0000, 0.7539).

As for the electronic total energy: -24.442 eV per atom. The calculation puts the energy relative to the elements at 0.0467 eV/atom. Its crystal system is trigonal. The calculation puts the density of states at the Fermi level at 16.64 states/eV/cell.



This record from the Alexandria database describes a PBEsol-optimized structure of ScNiRh2. The functional is meta-GGA SCAN.

It has space group Pmm2 (No. 25), with a = 2.793 Å, b = 3.721 Å, c = 5.397 Å, α = 90.00°, β = 90.00° and γ = 90.00°. The asymmetric unit holds Sc at (0.000, 0.000, 0.000), Ni at (0.500, 0.500, 0.264), Rh at (0.000, 0.000, 0.485) and Rh at (0.500, 0.500, 0.730).

As for the electronic total energy: -24.862 eV per atom. The calculation puts the energy relative to the elements at -0.3736 eV/atom. Its crystal system is orthorhombic. The calculation puts the density of states at the Fermi level at 4.24 states/eV/cell.



This record from the Alexandria database describes a PBEsol-optimized structure of Sc2NiRh. The functional is meta-GGA SCAN.

It has space group Fm-3m (No. 225), with a = 6.321 Å, b = 6.321 Å, c = 6.321 Å, α = 90.00°, β = 90.00° and γ = 90.00°. The asymmetric unit holds Sc at (0.250, 0.250, 0.250), Ni at (0.000, 0.000, 0.000) and Rh at (0.000, 0.000, 0.500).

As for the electronic total energy: -20.436 eV per atom. The calculation puts the energy relative to the elements at -0.8313 eV/atom. Its crystal system is cubic. The calculation puts the density of states at the Fermi level at 9.70 states/eV/cell.